Run P
A geometry-optimized La3Pm4Sc structure. Source: the Alexandria database, functional PBE.

Calculated values
As for the density of states at the Fermi level: 1.475 states/eV per atom. The value obtained for the density is 6.26 g cm⁻³. The total moment comes out at 0.0 μB per formula unit.

a = 3.5478 Å, b = 11.8838 Å, c = 13.1022 Å
α = 90.00°, β = 90.00°, γ = 90.00°
Space group Immm (No. 71)
Symmetry-distinct sites (fractional):
La (0.0000, 0.0000, 0.0000)
La (0.0000, 0.5000, 0.2381)
Pm (0.0000, 0.2434, 0.3678)
Sc (0.0000, 0.0000, 0.5000)

Run Q
A geometry-optimized La3Pm4Sc structure. Source: the Alexandria database, functional PBE.

Calculated values
As for the density of states at the Fermi level: 1.784 states/eV per atom. The value obtained for the density is 6.30 g cm⁻³. The total moment comes out at 0.0 μB per formula unit.

a = 11.7424 Å, b = 7.3621 Å, c = 6.3532 Å
α = 90.00°, β = 90.00°, γ = 90.00°
Space group Pmn2_1 (No. 31)
Symmetry-distinct sites (fractional):
La (0.0000, 0.1270, 0.0000)
La (0.2493, 0.1179, 0.3295)
Pm (0.0000, 0.3732, 0.5038)
Pm (0.0000, 0.6295, 0.9965)
Pm (0.2434, 0.6265, 0.3401)
Sc (0.0000, 0.8714, 0.4968)

Relative to the most stable one, in eV/atom, the structures come out at run P 0.068; run Q 0.000.

Run P
A geometry-optimized La4PmSc structure. Source: the Alexandria database, functional PBE.

Calculated values
As for the density of states at the Fermi level: 1.666 states/eV per atom. The value obtained for the density is 5.99 g cm⁻³. The total moment comes out at 0.0 μB per formula unit.

a = 5.7997 Å, b = 23.1118 Å, c = 6.1634 Å
α = 90.00°, β = 90.00°, γ = 90.00°
Space group Imma (No. 74)
Symmetry-distinct sites (fractional):
La (0.0000, 0.0915, 0.0544)
La (0.0000, 0.1746, 0.5752)
Pm (0.0000, 0.0000, 0.5000)
Sc (0.0000, 0.2500, 0.0907)

Run Q
A geometry-optimized La4PmSc structure. Source: the Alexandria database, functional PBE.

Calculated values
As for the density of states at the Fermi level: 1.911 states/eV per atom. The value obtained for the density is 6.04 g cm⁻³. The total moment comes out at 0.0 μB per formula unit.

a = 5.1866 Å, b = 15.2919 Å, c = 5.1693 Å
α = 90.00°, β = 90.00°, γ = 90.00°
Space group Cmmm (No. 65)
Symmetry-distinct sites (fractional):
La (0.0000, 0.1626, 0.0000)
La (0.0000, 0.3352, 0.5000)
Pm (0.0000, 0.5000, 0.0000)
Sc (0.0000, 0.0000, 0.5000)

Relative to the most stable one, in eV/atom, the structures come out at run P 0.034; run Q 0.000.

Run P
A geometry-optimized LaPm2Sc structure. Source: the Alexandria database, functional PBE.

Calculated values
As for the density of states at the Fermi level: 2.685 states/eV per atom. The value obtained for the density is 6.02 g cm⁻³. The total moment comes out at 0.5 μB per formula unit.

a = 8.0538 Å, b = 8.0538 Å, c = 8.0538 Å
α = 90.00°, β = 90.00°, γ = 90.00°
Space group Fm-3m (No. 225)
Symmetry-distinct sites (fractional):
La (0.0000, 0.0000, 0.0000)
Pm (0.2500, 0.2500, 0.2500)
Sc (0.0000, 0.0000, 0.5000)

Run Q
A geometry-optimized LaPm2Sc structure. Source: the Alexandria database, functional PBE.

Calculated values
As for the density of states at the Fermi level: 1.967 states/eV per atom. The value obtained for the density is 5.99 g cm⁻³. The total moment comes out at 0.0 μB per formula unit.

a = 5.9324 Å, b = 3.3581 Å, c = 13.1865 Å
α = 90.00°, β = 91.49°, γ = 90.00°
Space group P2_1/m (No. 11)
Symmetry-distinct sites (fractional):
La (0.2227, 0.2500, 0.1661)
Pm (0.2478, 0.2500, 0.4479)
Pm (0.2541, 0.7500, 0.6916)
Sc (0.2822, 0.7500, 0.9448)

Run R
A geometry-optimized LaPm2Sc structure. Source: the Alexandria database, functional PBE.

Calculated values
As for the density of states at the Fermi level: 1.388 states/eV per atom. The value obtained for the density is 6.11 g cm⁻³. The total moment comes out at 0.0 μB per formula unit.

a = 5.0309 Å, b = 5.0309 Å, c = 5.0894 Å
α = 90.00°, β = 90.00°, γ = 90.00°
Space group P4/mmm (No. 123)
Symmetry-distinct sites (fractional):
La (0.0000, 0.0000, 0.0000)
Pm (0.0000, 0.5000, 0.5000)
Sc (0.5000, 0.5000, 0.0000)

Relative to the most stable one, in eV/atom, the structures come out at run P 0.125; run Q 0.217; run R 0.000.

Run P
A geometry-optimized LaPm4Sc2 structure. Source: the Alexandria database, functional PBE.

Calculated values
As for the density of states at the Fermi level: 1.851 states/eV per atom. The value obtained for the density is 5.96 g cm⁻³. The total moment comes out at 0.0 μB per formula unit.

a = 8.7077 Å, b = 6.4702 Å, c = 8.9568 Å
α = 90.00°, β = 116.82°, γ = 90.00°
Space group P2_1/m (No. 11)
Symmetry-distinct sites (fractional):
La (0.2472, 0.2500, 0.2569)
Pm (0.0095, 0.7500, 0.5672)
Pm (0.0513, 0.2500, 0.8248)
Pm (0.4038, 0.0083, 0.7727)
Sc (0.2050, 0.7500, 0.0022)
Sc (0.3680, 0.7500, 0.4225)

Run Q
A geometry-optimized LaPm4Sc2 structure. Source: the Alexandria database, functional PBE.

Calculated values
As for the density of states at the Fermi level: 1.707 states/eV per atom. The value obtained for the density is 5.77 g cm⁻³. The total moment comes out at 0.0 μB per formula unit.

a = 3.5865 Å, b = 15.2592 Å, c = 17.0130 Å
α = 90.00°, β = 90.07°, γ = 90.00°
Space group C2/c (No. 15)
Symmetry-distinct sites (fractional):
La (0.0000, 0.0998, 0.2500)
Pm (0.0005, 0.3294, 0.5734)
Pm (0.0019, 0.0629, 0.9153)
Sc (0.0000, 0.2254, 0.7500)
Sc (0.0000, 0.4293, 0.2500)

Relative to the most stable one, in eV/atom, the structures come out at run P 0.000; run Q 0.080.

Run P
A geometry-optimized La2PmSc structure. Source: the Alexandria database, functional PBE.

Calculated values
As for the density of states at the Fermi level: 1.560 states/eV per atom. The value obtained for the density is 5.88 g cm⁻³. The total moment comes out at 0.0 μB per formula unit.

a = 3.7124 Å, b = 3.7124 Å, c = 9.5921 Å
α = 90.00°, β = 90.00°, γ = 90.00°
Space group P4/mmm (No. 123)
Symmetry-distinct sites (fractional):
La (0.0000, 0.0000, 0.2338)
Pm (0.5000, 0.5000, 0.5000)
Sc (0.5000, 0.5000, 0.0000)

Run Q
A geometry-optimized La2PmSc structure. Source: the Alexandria database, functional PBE.

Calculated values
As for the density of states at the Fermi level: 1.329 states/eV per atom. The value obtained for the density is 5.94 g cm⁻³. The total moment comes out at 0.0 μB per formula unit.

a = 3.6198 Å, b = 3.6198 Å, c = 34.5625 Å
α = 90.00°, β = 90.00°, γ = 120.00°
Space group R-3m (No. 166, hexagonal axes)
Symmetry-distinct sites (fractional):
La (0.0000, 0.0000, 0.2457)
Pm (0.0000, 0.0000, 0.0000)
Sc (0.0000, 0.0000, 0.5000)

Relative to the most stable one, in eV/atom, the structures come out at run P 0.000; run Q 0.008.

Run P
A geometry-optimized La3PmSc structure. Source: the Alexandria database, functional PBE.

Calculated values
As for the density of states at the Fermi level: 1.481 states/eV per atom. The value obtained for the density is 5.85 g cm⁻³. The total moment comes out at 0.0 μB per formula unit.

a = 5.8970 Å, b = 9.6487 Å, c = 12.1001 Å
α = 90.00°, β = 90.00°, γ = 90.00°
Space group Cmcm (No. 63)
Symmetry-distinct sites (fractional):
La (0.0000, 0.0484, 0.2500)
La (0.0000, 0.3529, 0.1016)
Pm (0.0000, 0.0000, 0.0000)
Sc (0.0000, 0.2961, 0.7500)

Run Q
A geometry-optimized La3PmSc structure. Source: the Alexandria database, functional PBE.

Calculated values
As for the density of states at the Fermi level: 1.488 states/eV per atom. The value obtained for the density is 5.94 g cm⁻³. The total moment comes out at 0.0 μB per formula unit.

a = 5.8445 Å, b = 19.0601 Å, c = 6.0947 Å
α = 90.00°, β = 90.00°, γ = 90.00°
Space group Cmc2_1 (No. 36)
Symmetry-distinct sites (fractional):
La (0.0000, 0.0475, 0.0000)
La (0.0000, 0.2474, 0.9313)
La (0.0000, 0.4418, 0.8735)
Pm (0.0000, 0.3573, 0.3730)
Sc (0.0000, 0.1468, 0.4816)

Relative to the most stable one, in eV/atom, the structures come out at run P 0.159; run Q 0.000.

Run P
A geometry-optimized La2Pm5Sc structure. Source: the Alexandria database, functional PBE.

Calculated values
As for the density of states at the Fermi level: 1.589 states/eV per atom. The value obtained for the density is 6.33 g cm⁻³. The total moment comes out at 0.0 μB per formula unit.

a = 5.7105 Å, b = 11.9945 Å, c = 16.0456 Å
α = 90.00°, β = 90.00°, γ = 90.00°
Space group Cmcm (No. 63)
Symmetry-distinct sites (fractional):
La (0.0000, 0.2191, 0.1346)
Pm (0.0000, 0.0786, 0.5944)
Pm (0.0000, 0.3822, 0.5522)
Pm (0.0000, 0.4701, 0.2500)
Sc (0.0000, 0.2583, 0.7500)

Run Q
A geometry-optimized La2Pm5Sc structure. Source: the Alexandria database, functional PBE.

Calculated values
As for the density of states at the Fermi level: 1.779 states/eV per atom. The value obtained for the density is 6.45 g cm⁻³. The total moment comes out at 0.0 μB per formula unit.

a = 5.1283 Å, b = 5.1283 Å, c = 20.5075 Å
α = 90.00°, β = 90.00°, γ = 90.00°
Space group I4/mmm (No. 139)
Symmetry-distinct sites (fractional):
La (0.0000, 0.0000, 0.2498)
Pm (0.0000, 0.0000, 0.0000)
Pm (0.0000, 0.5000, 0.1197)
Sc (0.0000, 0.0000, 0.5000)

Relative to the most stable one, in eV/atom, the structures come out at run P 0.084; run Q 0.000.

Run P
A geometry-optimized La6Pm8Sc structure. Source: the Alexandria database, functional PBE.

Calculated values
As for the density of states at the Fermi level: 1.665 states/eV per atom. The value obtained for the density is 6.42 g cm⁻³. The total moment comes out at 0.0 μB per formula unit.

a = 9.2872 Å, b = 9.2872 Å, c = 21.1608 Å
α = 90.00°, β = 90.00°, γ = 120.00°
Space group R-3 (No. 148, hexagonal axes)
Symmetry-distinct sites (fractional):
La (0.0540, 0.2501, 0.2099)
Pm (0.0000, 0.0000, 0.0776)
Pm (0.0819, 0.5687, 0.3049)
Sc (0.0000, 0.0000, 0.5000)

Run Q
A geometry-optimized La6Pm8Sc structure. Source: the Alexandria database, functional PBE.

Calculated values
As for the density of states at the Fermi level: 1.395 states/eV per atom. The value obtained for the density is 6.54 g cm⁻³. The total moment comes out at 0.0 μB per formula unit.

a = 9.9364 Å, b = 9.9364 Å, c = 18.1653 Å
α = 90.00°, β = 90.00°, γ = 120.00°
Space group R-3 (No. 148, hexagonal axes)
Symmetry-distinct sites (fractional):
La (0.0437, 0.4256, 0.3408)
Pm (0.0000, 0.0000, 0.4161)
Pm (0.0582, 0.2418, 0.1693)
Sc (0.0000, 0.0000, 0.0000)

Relative to the most stable one, in eV/atom, the structures come out at run P 0.000; run Q 0.055.

Run P
A geometry-optimized LaPmThSc structure. Source: the Alexandria database, functional PBE.

Calculated values
As for the density of states at the Fermi level: 1.143 states/eV per atom. The value obtained for the density is 7.29 g cm⁻³. The total moment comes out at 0.0 μB per formula unit.

a = 3.6087 Å, b = 3.6087 Å, c = 9.8109 Å
α = 90.00°, β = 90.00°, γ = 90.00°
Space group P4mm (No. 99)
Symmetry-distinct sites (fractional):
La (0.0000, 0.0000, 0.0000)
Pm (0.5000, 0.5000, 0.7200)
Th (0.0000, 0.0000, 0.4697)
Sc (0.5000, 0.5000, 0.2458)

Run Q
A geometry-optimized LaPmThSc structure. Source: the Alexandria database, functional PBE.

Calculated values
As for the density of states at the Fermi level: 1.708 states/eV per atom. The value obtained for the density is 7.31 g cm⁻³. The total moment comes out at 0.0 μB per formula unit.

a = 7.9893 Å, b = 7.9893 Å, c = 7.9893 Å
α = 90.00°, β = 90.00°, γ = 90.00°
Space group F-43m (No. 216)
Symmetry-distinct sites (fractional):
La (0.0000, 0.0000, 0.0000)
Pm (0.2500, 0.2500, 0.7500)
Th (0.0000, 0.0000, 0.5000)
Sc (0.2500, 0.2500, 0.2500)

Relative to the most stable one, in eV/atom, the structures come out at run P 0.000; run Q 0.101.

Run P
A geometry-optimized LaPmScZn structure. Source: the Alexandria database, functional PBE.

Calculated values
As for the density of states at the Fermi level: 1.185 states/eV per atom. The value obtained for the density is 5.97 g cm⁻³. The total moment comes out at 0.0 μB per formula unit.

a = 7.5972 Å, b = 7.5972 Å, c = 7.5972 Å
α = 90.00°, β = 90.00°, γ = 90.00°
Space group F-43m (No. 216)
Symmetry-distinct sites (fractional):
La (0.0000, 0.0000, 0.0000)
Pm (0.0000, 0.0000, 0.5000)
Sc (0.2500, 0.2500, 0.2500)
Zn (0.2500, 0.2500, 0.7500)

Run Q
A geometry-optimized LaPmScZn structure. Source: the Alexandria database, functional PBE.

Calculated values
As for the density of states at the Fermi level: 1.327 states/eV per atom. The value obtained for the density is 6.02 g cm⁻³. The total moment comes out at 0.0 μB per formula unit.

a = 3.5563 Å, b = 3.5563 Å, c = 8.6035 Å
α = 90.00°, β = 90.00°, γ = 90.00°
Space group P4mm (No. 99)
Symmetry-distinct sites (fractional):
La (0.0000, 0.0000, 0.0000)
Pm (0.5000, 0.5000, 0.6795)
Sc (0.5000, 0.5000, 0.2827)
Zn (0.0000, 0.0000, 0.4473)

Relative to the most stable one, in eV/atom, the structures come out at run P 0.115; run Q 0.000.

Run P
A geometry-optimized LaPmSe structure. Source: the Alexandria database, functional PBE.

Calculated values
As for the density of states at the Fermi level: 1.063 states/eV per atom. The value obtained for the density is 6.17 g cm⁻³. The total moment comes out at 1.4 μB per formula unit.

a = 4.0675 Å, b = 4.0675 Å, c = 6.8133 Å
α = 90.00°, β = 90.00°, γ = 120.00°
Space group P3m1 (No. 156)
Symmetry-distinct sites (fractional):
La (0.0000, 0.0000, 0.0000)
Pm (0.3333, 0.6667, 0.4542)
Se (0.6667, 0.3333, 0.7194)

Run Q
A geometry-optimized LaPmSe structure. Source: the Alexandria database, functional PBE.

Calculated values
As for the density of states at the Fermi level: 0.896 states/eV per atom. The value obtained for the density is 6.24 g cm⁻³. The total moment comes out at 0.0 μB per formula unit.

a = 8.8446 Å, b = 11.2359 Å, c = 7.7743 Å
α = 90.00°, β = 90.00°, γ = 90.00°
Space group Cmce (No. 64)
Symmetry-distinct sites (fractional):
La (0.2048, 0.0000, 0.0000)
Pm (0.0000, 0.2017, 0.3360)
Se (0.0000, 0.0634, 0.6977)

Relative to the most stable one, in eV/atom, the structures come out at run P 0.000; run Q 0.056.